Computed, not measured: an optimized crystal structure of Tm2UC3 at the PBE-GGA level of DFT.

The structure in POSCAR format:
```
Tm2UC3
1.0
3.419 0.000 -1.035
-0.612 4.463 -2.021
-0.030 0.012 6.068
Tm U C
2 1 3
direct
0.834 0.834 0.168 Tm
0.166 0.166 0.832 Tm
0.500 0.500 0.500 U
0.855 0.355 0.211 C
0.145 0.645 0.789 C
0.500 0.000 0.500 C
```

Results
energy relative to the elements: -0.354 eV/atom
space-group type: Immm



Computed, not measured: an optimized crystal structure of NaTl8Au2 at the PBE-GGA level of DFT.

The structure in POSCAR format:
```
NaTl8Au2
1.0
5.380 -0.078 1.815
1.478 7.366 3.523
-0.238 0.052 8.294
Na Tl Au
1 8 2
direct
0.000 0.000 0.000 Na
0.905 0.178 0.595 Tl
0.095 0.405 0.822 Tl
0.436 0.148 0.148 Tl
0.564 0.852 0.852 Tl
0.905 0.595 0.178 Tl
0.095 0.822 0.405 Tl
0.376 0.402 0.402 Tl
0.624 0.598 0.598 Tl
0.866 0.227 0.227 Au
0.134 0.773 0.773 Au
```

Results
energy relative to the elements: 0.005 eV/atom
space-group type: C2/m



Computed, not measured: an optimized crystal structure of BaZn2I2 at the PBE-GGA level of DFT.

The structure in POSCAR format:
```
BaZn2I2
1.0
-2.178 -3.490 0.348
0.419 0.148 4.104
-10.000 4.093 2.949
I Zn Ba
2 2 1
direct
0.406 0.406 0.187 I
0.594 0.594 0.813 I
0.750 0.250 0.500 Zn
0.250 0.750 0.500 Zn
0.000 0.000 0.000 Ba
```

Results
formation energy (no corrections): -0.710 eV/atom
space-group type: I4/mmm
distance to the lowest polymorph of the same formula: 0.00 eV per formula unit



Computed, not measured: an optimized crystal structure of AcBiPb4 at the PBE-GGA level of DFT.

The structure in POSCAR format:
```
AcBiPb4
1.0
-1.550 -1.168 -6.260
1.196 -5.884 -2.629
-4.975 -4.014 -1.450
Pb Ac Bi
4 1 1
direct
0.625 0.625 0.125 Pb
0.625 0.125 0.625 Pb
0.625 0.625 0.625 Pb
0.125 0.625 0.625 Pb
0.000 0.000 0.000 Ac
0.250 0.250 0.250 Bi
```

Results
energy relative to the elements: -0.148 eV/atom
space-group type: F-43m



| no. | magnetic moment (μB/f.u.) |
| --- | --- |
| 1 | 0.00 |
| 2 | 0.00 |
| 3 | 0.00 |
| 4 | 0.00 |